# MnCdWCl2

MnCdWCl2 at its PBEsol-relaxed geometry (SCAN, Alexandria).

Its density is 6.298 g cm⁻³. The total energy comes out at -26.455 eV per atom. The formation energy (no corrections) comes out at 407 meV per atom.

a = 4.583 Å, b = 4.583 Å, c = 5.298 Å
α = 90.00°, β = 90.00°, γ = 90.00°
Sites, in units of the cell vectors:
Mn  0.000  0.000  0.000
Cd  0.500  0.500  0.000
W  0.000  0.000  0.500
Cl  0.000  0.500  0.500
Cl  0.500  0.000  0.500

# CdMoCl2

CdMoCl2 at its PBEsol-relaxed geometry (SCAN, Alexandria).

Its density is 5.767 g cm⁻³. The total energy comes out at -20.528 eV per atom. The formation energy (no corrections) comes out at -214 meV per atom.

a = 3.137 Å, b = 3.137 Å, c = 9.837 Å
α = 90.00°, β = 90.00°, γ = 123.81°
Sites, in units of the cell vectors:
Cd  0.000  0.000  0.000
Mo  0.000  0.000  0.500
Cl  0.500  0.500  0.306
Cl  0.500  0.500  0.694

# CdMoCl4

CdMoCl4 at its PBEsol-relaxed geometry (SCAN, Alexandria).

Its density is 4.449 g cm⁻³. The total energy comes out at -15.487 eV per atom. The formation energy (no corrections) comes out at 715 meV per atom.

a = 5.696 Å, b = 5.696 Å, c = 5.696 Å
α = 60.00°, β = 60.00°, γ = 60.00°
Sites, in units of the cell vectors:
Cd  0.000  0.000  0.000
Mo  0.750  0.750  0.750
Cl  0.375  0.375  0.375
Cl  0.375  0.375  0.875
Cl  0.375  0.875  0.375
Cl  0.875  0.375  0.375

# CdMo2Cl

CdMo2Cl at its PBEsol-relaxed geometry (SCAN, Alexandria).

Its energy relative to the lowest polymorph listed for this composition is 0.196 eV/atom. Its density is 8.438 g cm⁻³. The total energy comes out at -26.052 eV per atom. The formation energy (no corrections) comes out at 989 meV per atom.

a = 4.658 Å, b = 4.658 Å, c = 4.658 Å
α = 123.83°, β = 123.83°, γ = 83.49°
Sites, in units of the cell vectors:
Cd  0.000  0.000  0.000
Mo  0.250  0.750  0.500
Mo  0.500  0.500  0.000
Cl  0.750  0.250  0.500

# CdMo2Cl

CdMo2Cl at its PBEsol-relaxed geometry (SCAN, Alexandria).

Its energy relative to the lowest polymorph listed for this composition is 0.273 eV/atom. Its density is 8.144 g cm⁻³. The total energy comes out at -25.974 eV per atom. The formation energy (no corrections) comes out at 1067 meV per atom.

a = 5.544 Å, b = 5.544 Å, c = 5.544 Å
α = 140.18°, β = 140.18°, γ = 57.58°
Sites, in units of the cell vectors:
Cd  0.000  0.000  0.000
Mo  0.250  0.750  0.500
Mo  0.750  0.250  0.500
Cl  0.500  0.500  0.000

# CdMo2Cl

CdMo2Cl at its PBEsol-relaxed geometry (SCAN, Alexandria).

Its energy relative to the lowest polymorph listed for this composition is 0.000 eV/atom. Its density is 8.340 g cm⁻³. The total energy comes out at -26.247 eV per atom. The formation energy (no corrections) comes out at 793 meV per atom.

a = 2.907 Å, b = 4.768 Å, c = 4.881 Å
α = 90.00°, β = 90.00°, γ = 90.00°
Sites, in units of the cell vectors:
Cd  0.000  0.000  0.000
Mo  0.000  0.500  0.500
Mo  0.500  0.000  0.500
Cl  0.500  0.500  0.000

# CdMoS2Cl

CdMoS2Cl at its PBEsol-relaxed geometry (SCAN, Alexandria).

Its density is 4.378 g cm⁻³. The total energy comes out at -17.858 eV per atom. The formation energy (no corrections) comes out at 649 meV per atom.

a = 4.919 Å, b = 4.919 Å, c = 4.828 Å
α = 90.00°, β = 90.00°, γ = 90.00°
Sites, in units of the cell vectors:
Cd  0.000  0.000  0.000
Mo  0.500  0.500  0.500
S  0.000  0.500  0.000
S  0.500  0.000  0.000
Cl  0.000  0.000  0.500

# CdSeNCl2

CdSeNCl2 at its PBEsol-relaxed geometry (SCAN, Alexandria).

Its density is 4.411 g cm⁻³. The total energy comes out at -14.710 eV per atom. The formation energy (no corrections) comes out at 438 meV per atom.

a = 5.369 Å, b = 5.369 Å, c = 3.608 Å
α = 90.00°, β = 90.00°, γ = 90.00°
Sites, in units of the cell vectors:
Cd  0.000  0.000  0.000
Se  0.500  0.500  0.500
N  0.500  0.500  0.000
Cl  0.000  0.500  0.500
Cl  0.500  0.000  0.500